No. 1
Computed, not measured: a relaxed structure of SiAs2C at the PBE level of DFT.

## Properties
The calculation puts the offset from the most stable computed form at 0.6658 eV per atom. As for the energy relative to the elements, uncorrected: 6.00 eV/f.u. For the total magnetization, the calculation gives 0.00 μB per formula unit. The value obtained for the density is 5.4 Mg/m³.

abc: 6.173 6.173 6.173
angles: 90.00 90.00 90.00
Element x y z (fractional)
Si 0.000 0.000 0.000
Si 0.000 0.500 0.500
Si 0.500 0.000 0.500
Si 0.500 0.500 0.000
As 0.250 0.250 0.250
As 0.250 0.250 0.750
As 0.250 0.750 0.250
As 0.250 0.750 0.750
As 0.750 0.250 0.250
As 0.750 0.250 0.750
As 0.750 0.750 0.250
As 0.750 0.750 0.750
C 0.000 0.000 0.500
C 0.000 0.500 0.000
C 0.500 0.000 0.000
C 0.500 0.500 0.500

=====

No. 2
Computed, not measured: a relaxed structure of YCdOs3 at the PBE level of DFT.

## Properties
The calculation puts the offset from the most stable computed form at 0.5519 eV per atom. For the total magnetization, the calculation gives 4.62 μB per formula unit. The value obtained for the density is 10.5 Mg/m³.

abc: 4.955 4.955 4.955
angles: 90.00 90.00 90.00
Element x y z (fractional)
Y 0.000 0.000 0.000
Cd 0.500 0.500 0.500
Os 0.000 0.000 0.500
Os 0.000 0.500 0.000
Os 0.500 0.000 0.000

=====

No. 3
Computed, not measured: a relaxed structure of Fe4H3Ir at the PBE level of DFT.

## Properties
For the total magnetization, the calculation gives 9.10 μB per formula unit. The calculation puts the raw total energy at -6.56 eV per atom. The value obtained for the density is 10.4 Mg/m³.

abc: 5.106 5.106 6.871
angles: 109.51 109.51 53.56
Element x y z (fractional)
Fe 0.033 0.365 0.395
Fe 0.163 0.837 0.500
Fe 0.365 0.033 0.895
Fe 0.426 0.772 0.200
Fe 0.636 0.971 0.597
Fe 0.772 0.426 0.700
Fe 0.837 0.163 0.000
Fe 0.971 0.636 0.097
H 0.189 0.196 0.143
H 0.196 0.189 0.643
H 0.596 0.607 0.457
H 0.607 0.596 0.957
H 0.790 0.811 0.845
H 0.811 0.790 0.345
Ir 0.237 0.568 0.796
Ir 0.568 0.237 0.296

=====

No. 4
Computed, not measured: a relaxed structure of SmCO4 at the PBE level of DFT.

## Properties
The calculation puts the offset from the most stable computed form at 0.1874 eV per atom. As for the energy relative to the elements, uncorrected: -10.78 eV/f.u. For the total magnetization, the calculation gives 1.00 μB per formula unit. The value obtained for the density is 4.1 Mg/m³.

abc: 4.037 5.794 7.878
angles: 90.00 90.95 90.00
Element x y z (fractional)
Sm 0.249 0.250 0.435
Sm 0.751 0.750 0.565
C 0.028 0.750 0.072
C 0.972 0.250 0.928
O 0.170 0.250 0.040
O 0.229 0.750 0.180
O 0.254 0.551 0.628
O 0.254 0.949 0.628
O 0.746 0.051 0.372
O 0.746 0.449 0.372
O 0.771 0.250 0.820
O 0.830 0.750 0.960

=====

No. 5
Computed, not measured: a relaxed structure of Dy3MgPd4 at the PBE level of DFT.

## Properties
For the total magnetization, the calculation gives 0.00 μB per formula unit. The calculation puts the raw total energy at -5.37 eV per atom. The value obtained for the density is 9.6 Mg/m³.

abc: 4.898 4.898 6.793
angles: 90.00 90.00 90.00
Element x y z (fractional)
Dy 0.000 0.000 0.000
Dy 0.000 0.000 0.500
Dy 0.500 0.500 0.000
Mg 0.500 0.500 0.500
Pd 0.000 0.500 0.254
Pd 0.000 0.500 0.746
Pd 0.500 0.000 0.254
Pd 0.500 0.000 0.746

=====

No. 6
Computed, not measured: a relaxed structure of TaBePb2 at the PBE level of DFT.

## Properties
For the total magnetization, the calculation gives 0.00 μB per formula unit. The calculation puts the raw total energy at -4.87 eV per atom. The value obtained for the density is 11.5 Mg/m³.

abc: 3.166 4.975 5.530
angles: 90.00 90.00 90.00
Element x y z (fractional)
Ta 0.000 0.000 0.000
Be 0.500 0.000 0.500
Pb 0.000 0.500 0.500
Pb 0.500 0.500 0.000

=====

No. 7
Computed, not measured: a relaxed structure of MoP at the PBE level of DFT.

## Properties
For the total magnetization, the calculation gives 0.00 μB per formula unit. The calculation puts the raw total energy at -7.99 eV per atom. The value obtained for the density is 4.9 Mg/m³.

abc: 3.850 3.850 5.857
angles: 90.00 90.00 90.00
Element x y z (fractional)
Mo 0.250 0.750 0.000
Mo 0.750 0.250 0.000
P 0.250 0.250 0.264
P 0.750 0.750 0.736

=====

No. 8
Computed, not measured: a relaxed structure of NaAcZn2Au2 at the PBE level of DFT.

## Properties
For the total magnetization, the calculation gives 0.00 μB per formula unit. The calculation puts the raw total energy at -2.90 eV per atom. The value obtained for the density is 9.5 Mg/m³.

abc: 4.666 4.666 7.182
angles: 90.00 90.00 120.00
Element x y z (fractional)
Na 0.000 0.000 0.000
Ac 0.000 0.000 0.500
Zn 0.333 0.667 0.812
Zn 0.667 0.333 0.188
Au 0.333 0.667 0.220
Au 0.667 0.333 0.780

=====

No. 9
Computed, not measured: a relaxed structure of Pr2TmSi3Ir4 at the PBE level of DFT.

## Properties
As for the energy relative to the elements, uncorrected: -9.50 eV/f.u. For the total magnetization, the calculation gives 0.00 μB per formula unit. The value obtained for the density is 11.4 Mg/m³.

abc: 4.167 4.167 10.906
angles: 90.00 90.00 90.00
Element x y z (fractional)
Pr 0.000 0.500 0.234
Pr 0.500 0.000 0.766
Tm 0.000 0.000 0.500
Si 0.000 0.500 0.882
Si 0.500 0.000 0.118
Si 0.500 0.500 0.500
Ir 0.000 0.000 0.000
Ir 0.000 0.500 0.659
Ir 0.500 0.000 0.341
Ir 0.500 0.500 0.000

=====

No. 10
Computed, not measured: a relaxed structure of ZnTcCl2 at the PBE level of DFT.

## Properties
The calculation puts the offset from the most stable computed form at 0.3116 eV per atom. As for the energy relative to the elements, uncorrected: 0.25 eV/f.u. For the total magnetization, the calculation gives 3.02 μB per formula unit. The value obtained for the density is 3.7 Mg/m³.

abc: 10.518 3.165 7.409
angles: 90.00 120.73 90.00
Element x y z (fractional)
Zn 0.000 0.000 0.000
Zn 0.500 0.500 0.000
Tc 0.262 0.000 0.854
Tc 0.762 0.500 0.854
Cl 0.094 0.500 0.613
Cl 0.211 0.500 0.154
Cl 0.594 0.000 0.613
Cl 0.711 0.000 0.154

=====

No. 11
Computed, not measured: a relaxed structure of KYAlCr2 at the PBE level of DFT.

## Properties
For the total magnetization, the calculation gives 8.53 μB per formula unit. The calculation puts the raw total energy at -4.74 eV per atom. The value obtained for the density is 2.3 Mg/m³.

abc: 5.674 5.674 5.699
angles: 90.00 90.00 90.00
Element x y z (fractional)
K 0.000 0.000 0.000
Y 0.500 0.500 0.500
Al 0.500 0.500 0.000
Cr 0.000 0.500 0.500
Cr 0.500 0.000 0.500

=====

No. 12
Computed, not measured: a relaxed structure of Re2TcHgRu at the PBE level of DFT.

## Properties
For the total magnetization, the calculation gives 1.30 μB per formula unit. The calculation puts the raw total energy at -7.02 eV per atom. The value obtained for the density is 12.5 Mg/m³.

abc: 4.696 4.696 4.670
angles: 90.00 90.00 90.00
Element x y z (fractional)
Re 0.000 0.500 0.000
Re 0.500 0.000 0.000
Tc 0.000 0.000 0.000
Hg 0.500 0.500 0.500
Ru 0.000 0.000 0.500

=====

No. 13
Computed, not measured: a relaxed structure of NaTlCd at the PBE level of DFT.

## Properties
The calculation puts the offset from the most stable computed form at 0.0868 eV per atom. For the total magnetization, the calculation gives 0.00 μB per formula unit. The value obtained for the density is 6.6 Mg/m³.

abc: 5.570 5.570 9.615
angles: 90.00 90.00 120.00
Element x y z (fractional)
Na 0.000 0.000 0.000
Na 0.333 0.667 0.667
Na 0.667 0.333 0.333
Tl 0.000 0.000 0.653
Tl 0.333 0.667 0.319
Tl 0.667 0.333 0.986
Cd 0.000 0.000 0.334
Cd 0.333 0.667 0.001
Cd 0.667 0.333 0.667